1.
Entry from the Alexandria database: AcAg2Br8 after structural relaxation (PBE-GGA).

Lattice parameters (Å, degrees): 8.3698 8.3698 8.3698 126.27 126.27 79.44
Sites, in units of the cell vectors:
Ac 0.0000 0.0000 0.0000
Ag 0.2500 0.7500 0.5000
Ag 0.7500 0.2500 0.5000
Br 0.0655 0.5625 0.8559
Br 0.2096 0.0655 0.5031
Br 0.2935 0.4375 0.5031
Br 0.4375 0.9345 0.1441
Br 0.5625 0.7065 0.4969
Br 0.7065 0.2096 0.1441
Br 0.7904 0.2935 0.8559
Br 0.9345 0.7904 0.4969

Values from the calculation:
E: -2.902 eV per atom
Formation energy (no corrections): -0.793 eV/atom
Space group: I422, No. 97



2.
Entry from the Alexandria database: AcAgBr4 after structural relaxation (PBE-GGA).

Lattice parameters (Å, degrees): 5.2641 5.2641 7.4380 98.72 98.72 89.42
Sites, in units of the cell vectors:
Ac 0.0000 0.0000 0.0000
Ag 0.5036 0.5036 0.4980
Br 0.0539 0.5539 0.2497
Br 0.4466 0.9464 0.7510
Br 0.5539 0.0539 0.2497
Br 0.9464 0.4466 0.7510

Values from the calculation:
E: -3.687 eV per atom
Formation energy (no corrections): -1.412 eV/atom
Space group: Cm, No. 8
ΔE to the lowest computed polymorph: 0.00 eV per formula unit



3.
Entry from the Alexandria database: Ac4CoAgBr2 after structural relaxation (PBE-GGA).

Lattice parameters (Å, degrees): 7.8213 4.3773 8.6194 90.00 107.58 90.00
Sites, in units of the cell vectors:
Ac 0.2151 0.0000 0.1947
Ac 0.2328 0.5000 0.8012
Ac 0.7672 0.5000 0.1988
Ac 0.7849 0.0000 0.8053
Co 0.0000 0.5000 0.0000
Ag 0.5000 0.0000 0.0000
Br 0.0000 0.0000 0.5000
Br 0.5000 0.5000 0.5000

Values from the calculation:
E: -4.446 eV per atom
Formation energy (no corrections): -0.728 eV/atom
Space group: P2/m, No. 10



4.
Entry from the Alexandria database: CsAcAg2Br8 after structural relaxation (PBE-GGA).

Lattice parameters (Å, degrees): 9.7443 9.7443 9.7443 135.27 135.27 65.12
Sites, in units of the cell vectors:
Cs 0.0000 0.0000 0.0000
Ac 0.7500 0.2500 0.5000
Ag 0.2500 0.7500 0.5000
Ag 0.5000 0.5000 0.0000
Br 0.0213 0.6482 0.0552
Br 0.0339 0.9787 0.6269
Br 0.1287 0.2966 0.6061
Br 0.3518 0.4070 0.3731
Br 0.4774 0.8713 0.1679
Br 0.5930 0.9661 0.9448
Br 0.6905 0.5226 0.3939
Br 0.7034 0.3095 0.8321

Values from the calculation:
E: -3.008 eV per atom
Formation energy (no corrections): -1.004 eV/atom
Space group: I-4, No. 82



5.
Entry from the Alexandria database: CsAcAg2Br6 after structural relaxation (PBE-GGA).

Lattice parameters (Å, degrees): 7.7454 7.7494 9.7131 66.53 66.68 60.12
Sites, in units of the cell vectors:
Cs 0.0000 0.0000 0.0000
Ac 0.5010 0.4985 0.4996
Ag 0.2224 0.2184 0.3377
Ag 0.7804 0.7798 0.6625
Br 0.1124 0.7506 0.7046
Br 0.2495 0.5648 0.2936
Br 0.4330 0.1080 0.7032
Br 0.5668 0.8884 0.2920
Br 0.7564 0.4327 0.7022
Br 0.8907 0.2436 0.2974

Values from the calculation:
E: -3.364 eV per atom
Formation energy (no corrections): -1.294 eV/atom
Space group: P1, No. 1



6.
Entry from the Alexandria database: Cs2AcAg2Br6 after structural relaxation (PBE-GGA).

Lattice parameters (Å, degrees): 7.8817 7.8817 9.2840 111.80 111.80 63.07
Sites, in units of the cell vectors:
Cs 0.2075 0.2075 0.1758
Cs 0.7925 0.7925 0.8242
Ac 0.0000 0.0000 0.5000
Ag 0.4592 0.4592 0.6121
Ag 0.5408 0.5408 0.3879
Br 0.1779 0.7292 0.2086
Br 0.2445 0.2445 0.5941
Br 0.2708 0.8221 0.7914
Br 0.7292 0.1779 0.2086
Br 0.7555 0.7555 0.4059
Br 0.8221 0.2708 0.7914

Values from the calculation:
E: -3.272 eV per atom
Formation energy (no corrections): -1.312 eV/atom
Space group: C2/m, No. 12



7.
Entry from the Alexandria database: CsAcAgBr5 after structural relaxation (PBE-GGA).

Lattice parameters (Å, degrees): 8.4314 8.4314 11.3763 102.54 102.54 108.26
Sites, in units of the cell vectors:
Cs 0.1506 0.8494 0.7500
Cs 0.8494 0.1506 0.2500
Ac 0.5000 0.5000 0.0000
Ac 0.5000 0.5000 0.5000
Ag 0.1875 0.8125 0.2500
Ag 0.8125 0.1875 0.7500
Br 0.1217 0.2497 0.9308
Br 0.1904 0.5960 0.3963
Br 0.2497 0.1217 0.4308
Br 0.4040 0.8096 0.1037
Br 0.4182 0.5818 0.7500
Br 0.5818 0.4182 0.2500
Br 0.5960 0.1904 0.8963
Br 0.7503 0.8783 0.5692
Br 0.8096 0.4040 0.6037
Br 0.8783 0.7503 0.0692

Values from the calculation:
E: -3.572 eV per atom
Formation energy (no corrections): -1.549 eV/atom
Space group: C2/c, No. 15



8.
Entry from the Alexandria database: Ac8AgIr3Br4 after structural relaxation (PBE-GGA).

Lattice parameters (Å, degrees): 9.7119 9.7119 9.7119 54.22 54.22 54.22
Sites, in units of the cell vectors:
Ac 0.2158 0.7405 0.7405
Ac 0.2314 0.2314 0.2314
Ac 0.2595 0.2595 0.7842
Ac 0.2595 0.7842 0.2595
Ac 0.7405 0.2158 0.7405
Ac 0.7405 0.7405 0.2158
Ac 0.7686 0.7686 0.7686
Ac 0.7842 0.2595 0.2595
Ag 0.5000 0.5000 0.5000
Ir 0.0000 0.0000 0.5000
Ir 0.0000 0.5000 0.0000
Ir 0.5000 0.0000 0.0000
Br 0.0000 0.0000 0.0000
Br 0.0000 0.5000 0.5000
Br 0.5000 0.0000 0.5000
Br 0.5000 0.5000 0.0000

Values from the calculation:
E: -5.394 eV per atom
Formation energy (no corrections): -1.082 eV/atom
Space group: R-3m, No. 166



9.
Entry from the Alexandria database: KAcAg2Br8 after structural relaxation (PBE-GGA).

Lattice parameters (Å, degrees): 9.2297 9.2297 9.2297 132.82 132.82 68.94
Sites, in units of the cell vectors:
K 0.0000 0.0000 0.0000
Ac 0.7500 0.2500 0.5000
Ag 0.2500 0.7500 0.5000
Ag 0.5000 0.5000 0.0000
Br 0.0220 0.9692 0.6211
Br 0.0308 0.6519 0.0528
Br 0.1310 0.2760 0.5681
Br 0.3481 0.4009 0.3789
Br 0.4371 0.8690 0.1451
Br 0.5991 0.9780 0.9472
Br 0.7079 0.5629 0.4319
Br 0.7240 0.2921 0.8549

Values from the calculation:
E: -3.023 eV per atom
Formation energy (no corrections): -0.999 eV/atom
Space group: I-4, No. 82



10.
Entry from the Alexandria database: AcLaAgBr after structural relaxation (PBE-GGA).

Lattice parameters (Å, degrees): 5.5376 5.5376 5.5376 60.00 60.00 60.00
Sites, in units of the cell vectors:
Ac 0.0000 0.0000 0.0000
La 0.5000 0.5000 0.5000
Ag 0.7500 0.7500 0.7500
Br 0.2500 0.2500 0.2500

Values from the calculation:
E: -3.950 eV per atom
Formation energy (no corrections): -0.560 eV/atom
Space group: F-43m, No. 216



11.
Entry from the Alexandria database: AcNdAgBr after structural relaxation (PBE-GGA).

Lattice parameters (Å, degrees): 5.5078 5.5078 5.5078 60.00 60.00 60.00
Sites, in units of the cell vectors:
Ac 0.0000 0.0000 0.0000
Nd 0.5000 0.5000 0.5000
Ag 0.2500 0.2500 0.2500
Br 0.7500 0.7500 0.7500

Values from the calculation:
E: -3.862 eV per atom
Formation energy (no corrections): -0.512 eV/atom
Space group: F-43m, No. 216



12.
Entry from the Alexandria database: Ac4NiAgBr2 after structural relaxation (PBE-GGA).

Lattice parameters (Å, degrees): 7.8155 4.4631 8.4551 90.00 108.07 90.00
Sites, in units of the cell vectors:
Ac 0.2214 0.0000 0.2015
Ac 0.2375 0.5000 0.7921
Ac 0.7625 0.5000 0.2079
Ac 0.7786 0.0000 0.7985
Ni 0.0000 0.5000 0.0000
Ag 0.5000 0.0000 0.0000
Br 0.0000 0.0000 0.5000
Br 0.5000 0.5000 0.5000

Values from the calculation:
E: -4.305 eV per atom
Formation energy (no corrections): -0.754 eV/atom
Space group: P2/m, No. 10



13.
Entry from the Alexandria database: AcAgBr2O after structural relaxation (PBE-GGA).

Lattice parameters (Å, degrees): 4.2305 4.2305 14.2185 90.00 90.00 90.00
Sites, in units of the cell vectors:
Ac 0.2500 0.2500 0.0906
Ac 0.7500 0.7500 0.9094
Ag 0.2500 0.2500 0.5898
Ag 0.7500 0.7500 0.4102
Br 0.2500 0.2500 0.3936
Br 0.2500 0.2500 0.7977
Br 0.7500 0.7500 0.2023
Br 0.7500 0.7500 0.6064
O 0.2500 0.7500 0.0000
O 0.7500 0.2500 0.0000

Values from the calculation:
E: -4.945 eV per atom
Formation energy (no corrections): -1.893 eV/atom
Space group: P4/nmm, No. 129



14.
Entry from the Alexandria database: Ac8AgOs3Br4 after structural relaxation (PBE-GGA).

Lattice parameters (Å, degrees): 9.6910 9.6910 9.6910 53.98 53.98 53.98
Sites, in units of the cell vectors:
Ac 0.2112 0.7426 0.7426
Ac 0.2322 0.2322 0.2322
Ac 0.2574 0.2574 0.7888
Ac 0.2574 0.7888 0.2574
Ac 0.7426 0.2112 0.7426
Ac 0.7426 0.7426 0.2112
Ac 0.7678 0.7678 0.7678
Ac 0.7888 0.2574 0.2574
Ag 0.5000 0.5000 0.5000
Os 0.0000 0.0000 0.5000
Os 0.0000 0.5000 0.0000
Os 0.5000 0.0000 0.0000
Br 0.0000 0.0000 0.0000
Br 0.0000 0.5000 0.5000
Br 0.5000 0.0000 0.5000
Br 0.5000 0.5000 0.0000

Values from the calculation:
E: -5.523 eV per atom
Formation energy (no corrections): -0.767 eV/atom
Space group: R-3m, No. 166



15.
Entry from the Alexandria database: AcAgPbBr6 after structural relaxation (PBE-GGA).

Lattice parameters (Å, degrees): 7.0958 7.0958 13.5118 90.00 90.00 90.00
Sites, in units of the cell vectors:
Ac 0.0000 0.0000 0.0000
Ac 0.5000 0.5000 0.5000
Ag 0.0000 0.0000 0.3305
Ag 0.5000 0.5000 0.8305
Pb 0.0000 0.0000 0.6662
Pb 0.5000 0.5000 0.1662
Br 0.1953 0.1953 0.1742
Br 0.1948 0.1948 0.4910
Br 0.2032 0.2032 0.8331
Br 0.2968 0.7032 0.3331
Br 0.3047 0.6953 0.6742
Br 0.3052 0.6948 0.9910
Br 0.6953 0.3047 0.6742
Br 0.6948 0.3052 0.9910
Br 0.7032 0.2968 0.3331
Br 0.7968 0.7968 0.8331
Br 0.8047 0.8047 0.1742
Br 0.8052 0.8052 0.4910

Values from the calculation:
E: -3.548 eV per atom
Formation energy (no corrections): -1.248 eV/atom
Space group: P4_2nm, No. 102



16.
Entry from the Alexandria database: AcPmAgBr after structural relaxation (PBE-GGA).

Lattice parameters (Å, degrees): 5.4956 5.4956 5.4956 60.00 60.00 60.00
Sites, in units of the cell vectors:
Ac 0.0000 0.0000 0.0000
Pm 0.5000 0.5000 0.5000
Ag 0.2500 0.2500 0.2500
Br 0.7500 0.7500 0.7500

Values from the calculation:
E: -3.848 eV per atom
Formation energy (no corrections): -0.502 eV/atom
Space group: F-43m, No. 216



17.
Entry from the Alexandria database: AcPrAgBr after structural relaxation (PBE-GGA).

Lattice parameters (Å, degrees): 5.5208 5.5208 5.5208 60.00 60.00 60.00
Sites, in units of the cell vectors:
Ac 0.0000 0.0000 0.0000
Pr 0.5000 0.5000 0.5000
Ag 0.2500 0.2500 0.2500
Br 0.7500 0.7500 0.7500

Values from the calculation:
E: -3.876 eV per atom
Formation energy (no corrections): -0.523 eV/atom
Space group: F-43m, No. 216



18.
Entry from the Alexandria database: Ac6AgPt2Br3 after structural relaxation (PBE-GGA).

Lattice parameters (Å, degrees): 10.6815 10.6815 9.6944 108.33 108.33 24.33
Sites, in units of the cell vectors:
Ac 0.0159 0.0159 0.2383
Ac 0.3202 0.3202 0.4460
Ac 0.3394 0.3394 0.8810
Ac 0.6606 0.6606 0.1190
Ac 0.6798 0.6798 0.5540
Ac 0.9841 0.9841 0.7617
Ag 0.5000 0.5000 0.0000
Pt 0.1673 0.1673 0.3337
Pt 0.8327 0.8327 0.6663
Br 0.1630 0.1630 0.8328
Br 0.5000 0.5000 0.5000
Br 0.8370 0.8370 0.1672

Values from the calculation:
E: -4.841 eV per atom
Formation energy (no corrections): -1.124 eV/atom
Space group: C2/m, No. 12



19.
Entry from the Alexandria database: RbAcAg2Br6 after structural relaxation (PBE-GGA).

Lattice parameters (Å, degrees): 7.6739 7.6762 8.2052 62.12 62.19 60.16
Sites, in units of the cell vectors:
Rb 0.0000 0.0000 0.0000
Ac 0.4796 0.4782 0.5639
Ag 0.2860 0.2858 0.1451
Ag 0.7960 0.7983 0.6113
Br 0.0535 0.6200 0.8606
Br 0.1835 0.5404 0.3712
Br 0.4663 0.0523 0.8632
Br 0.5416 0.9050 0.3716
Br 0.6224 0.4671 0.8602
Br 0.9049 0.1820 0.3720

Values from the calculation:
E: -3.353 eV per atom
Formation energy (no corrections): -1.272 eV/atom
Space group: P1, No. 1



20.
Entry from the Alexandria database: RbAcAgBr5 after structural relaxation (PBE-GGA).

Lattice parameters (Å, degrees): 8.3117 8.3117 11.2235 102.63 102.63 108.55
Sites, in units of the cell vectors:
Rb 0.1444 0.8556 0.7500
Rb 0.8556 0.1444 0.2500
Ac 0.5000 0.5000 0.0000
Ac 0.5000 0.5000 0.5000
Ag 0.1858 0.8142 0.2500
Ag 0.8142 0.1858 0.7500
Br 0.1183 0.2403 0.9380
Br 0.1783 0.5792 0.3852
Br 0.2403 0.1183 0.4380
Br 0.4080 0.5920 0.7500
Br 0.4208 0.8217 0.1148
Br 0.5792 0.1783 0.8852
Br 0.5920 0.4080 0.2500
Br 0.7597 0.8817 0.5620
Br 0.8217 0.4208 0.6148
Br 0.8817 0.7597 0.0620

Values from the calculation:
E: -3.566 eV per atom
Formation energy (no corrections): -1.530 eV/atom
Space group: C2/c, No. 15